No. 1
DFT (GGA-PBE) results for a relaxed structure of InSb2Pt.

Lattice parameters (Å, degrees): 6.0838 7.9098 3.8541 90.00 90.00 90.00
With the nearest neighbours (Å) after each atom.
Space group Cmmm (No. 65)
One atom of each set of equivalent atoms:
In: 0.0000 0.0000 0.0000  2 Pt 3.04, 8 Sb 3.15
Sb: 0.2500 0.2500 0.5000  2 Sb 3.04, 4 In 3.15, 4 Pt 3.15
Pt: 0.0000 0.5000 0.0000  2 In 3.04, 8 Sb 3.15

Uncorrected formation energy, eV per atom: 0.119

No. 2
DFT (GGA-PBE) results for a relaxed structure of BaBiP2S8.

Lattice parameters (Å, degrees): 6.1105 6.1105 9.3687 90.00 90.00 120.00
With the nearest neighbours (Å) after each atom.
Space group P-3 (No. 147)
One atom of each set of equivalent atoms:
Ba: 0.0000 0.0000 0.0000  12 S 3.54-3.57
Bi: 0.0000 0.0000 0.5000  6 S 2.80
P: 0.3333 0.6667 0.7533  4 S 2.02-2.06
S: 0.0006 0.3488 0.6948  1 P 2.06
S: 0.3333 0.6667 0.9693  1 P 2.02

Uncorrected formation energy, eV per atom: -0.520